1.
Computed, not measured: crystalline Tb5Zr3H12 at its relaxed geometry at the GGA-PBE level of DFT.

Summary:
mass density: 7.13 g/cm3
energy: -388.8 eV for the cell shown
symmetry: Ia-3d, No. 230
total moment: 0.00 μB/cell

abc: 10.9325 10.9325 10.9325
angles: 109.47 109.47 109.47
Element x y z (fractional)
Tb  0.0000  0.0000  0.0000
Tb  0.0000  0.0000  0.5000
Tb  0.0000  0.5000  0.0000
Tb  0.0000  0.5000  0.5000
Tb  0.1250  0.7500  0.8750
Tb  0.1250  0.8750  0.2500
Tb  0.2500  0.1250  0.8750
Tb  0.2500  0.6250  0.3750
Tb  0.3750  0.2500  0.6250
Tb  0.3750  0.6250  0.7500
Tb  0.5000  0.0000  0.0000
Tb  0.5000  0.0000  0.5000
Tb  0.5000  0.5000  0.0000
Tb  0.5000  0.5000  0.5000
Tb  0.6250  0.3750  0.2500
Tb  0.6250  0.7500  0.3750
Tb  0.7500  0.3750  0.6250
Tb  0.7500  0.8750  0.1250
Tb  0.8750  0.1250  0.7500
Tb  0.8750  0.2500  0.1250
Zr  0.1250  0.2500  0.3750
Zr  0.1250  0.3750  0.7500
Zr  0.2500  0.3750  0.1250
Zr  0.2500  0.8750  0.6250
Zr  0.3750  0.1250  0.2500
Zr  0.3750  0.7500  0.1250
Zr  0.6250  0.2500  0.8750
Zr  0.6250  0.8750  0.7500
Zr  0.7500  0.1250  0.3750
Zr  0.7500  0.6250  0.8750
Zr  0.8750  0.6250  0.2500
Zr  0.8750  0.7500  0.6250
H  0.0702  0.7321  0.6544
H  0.0702  0.8381  0.4158
H  0.0776  0.2321  0.1619
H  0.0776  0.3456  0.9158
H  0.0842  0.6619  0.4298
H  0.0842  0.9224  0.6544
H  0.1544  0.2321  0.5702
H  0.1544  0.4224  0.5842
H  0.1619  0.0776  0.2321
H  0.1619  0.5842  0.9298
H  0.2321  0.1619  0.0776
H  0.2321  0.5702  0.1544
H  0.2679  0.3456  0.9298
H  0.2679  0.4224  0.3381
H  0.3381  0.2679  0.4224
H  0.3381  0.5702  0.9158
H  0.3456  0.9158  0.0776
H  0.3456  0.9298  0.2679
H  0.4158  0.0702  0.8381
H  0.4158  0.8456  0.5776
H  0.4224  0.3381  0.2679
H  0.4224  0.5842  0.1544
H  0.4298  0.0842  0.6619
H  0.4298  0.8456  0.7679
H  0.5702  0.1544  0.2321
H  0.5702  0.9158  0.3381
H  0.5776  0.4158  0.8456
H  0.5776  0.6619  0.7321
H  0.5842  0.1544  0.4224
H  0.5842  0.9298  0.1619
H  0.6544  0.0702  0.7321
H  0.6544  0.0842  0.9224
H  0.6619  0.4298  0.0842
H  0.6619  0.7321  0.5776
H  0.7321  0.5776  0.6619
H  0.7321  0.6544  0.0702
H  0.7679  0.4298  0.8456
H  0.7679  0.8381  0.9224
H  0.8381  0.4158  0.0702
H  0.8381  0.9224  0.7679
H  0.8456  0.5776  0.4158
H  0.8456  0.7679  0.4298
H  0.9158  0.0776  0.3456
H  0.9158  0.3381  0.5702
H  0.9224  0.6544  0.0842
H  0.9224  0.7679  0.8381
H  0.9298  0.1619  0.5842
H  0.9298  0.2679  0.3456



2.
Computed, not measured: crystalline CsVS2 at its relaxed geometry at the GGA-PBE level of DFT.

Summary:
mass density: 3.40 g/cm3
energy: -44.5 eV for the cell shown
symmetry: I-42d, No. 122
total moment: 4.00 μB/cell

abc: 6.9160 6.9160 6.9160
angles: 117.31 117.31 94.73
Element x y z (fractional)
Cs  0.0000  0.0000  0.0000
Cs  0.7500  0.2500  0.5000
V  0.2500  0.7500  0.5000
V  0.5000  0.5000  0.0000
S  0.2692  0.1250  0.6442
S  0.3750  0.7308  0.8558
S  0.4808  0.6250  0.3558
S  0.8750  0.5192  0.1442



3.
Computed, not measured: crystalline Ti2OsPt at its relaxed geometry at the GGA-PBE level of DFT.

Summary:
mass density: 13.06 g/cm3
energy of formation: -0.70 eV/atom
energy: -35.9 eV for the cell shown
symmetry: P4/mmm, No. 123
total moment: 0.00 μB/cell

abc: 4.2400 4.2400 3.4016
angles: 90.00 90.00 90.00
Element x y z (fractional)
Ti  0.0000  0.5000  0.0000
Ti  0.5000  0.0000  0.0000
Os  0.0000  0.0000  0.5000
Pt  0.5000  0.5000  0.5000